A geometry-optimized Cu2RuCl8 structure. Source: Alexandria via LeMat-Bulk, functional PBE-GGA.

Calculated values
Relative energy among the computed polymorphs (eV/f.u.): 0.15
Total magnetization (μB per cell): 4.05
VASP energy (eV/atom): -3.334
Formation energy without anion corrections (kJ/mol of formula units): -428
Density (g/cm³): 2.8

The structure in extended XYZ format:
```
11
Lattice="6.496 -3.920 0.000 6.496 3.920 0.000 -0.567 0.000 5.878" Properties=species:S:1:pos:R:3 pbc="T T T"
Cu 2.230 0.000 0.784
Cu 10.196 0.000 5.094
Ru -0.283 0.000 2.939
Cl 5.146 2.298 4.260
Cl 1.585 0.000 4.360
Cl 7.280 2.298 1.618
Cl 4.307 0.000 1.285
Cl 8.119 0.000 4.593
Cl 5.146 -2.298 4.260
Cl 10.840 0.000 1.518
Cl 7.280 -2.298 1.618
```

***

A geometry-optimized Pm2ZnSi4Ni3 structure. Source: Alexandria via LeMat-Bulk, functional PBE-GGA.

Calculated values
Total magnetization (μB per cell): 0.00
VASP energy (eV/atom): -5.729
Formation energy without anion corrections (kJ/mol of formula units): -722
Density (g/cm³): 6.7

The structure in extended XYZ format:
```
10
Lattice="4.054 0.000 0.000 0.000 4.054 0.000 0.000 0.000 9.732" Properties=species:S:1:pos:R:3 pbc="T T T"
Pm 0.000 2.027 2.373
Pm 2.027 0.000 7.359
Zn 0.000 0.000 4.866
Si 0.000 0.000 0.000
Si 0.000 2.027 6.251
Si 2.027 0.000 3.481
Si 2.027 2.027 0.000
Ni 0.000 2.027 8.589
Ni 2.027 0.000 1.144
Ni 2.027 2.027 4.866
```

***

A geometry-optimized Pa4GeSb2Se structure. Source: Alexandria via LeMat-Bulk, functional PBE-GGA.

Calculated values
Total magnetization (μB per cell): 0.00
VASP energy (eV/atom): -7.447
Formation energy without anion corrections (kJ/mol of formula units): -506
Density (g/cm³): 10.2

The structure in extended XYZ format:
```
8
Lattice="7.222 0.000 0.000 0.000 4.227 0.000 -2.470 0.000 7.014" Properties=species:S:1:pos:R:3 pbc="T T T"
Pa 1.182 0.000 1.577
Pa -0.051 2.113 5.432
Pa 4.803 2.113 1.582
Pa 3.570 0.000 5.437
Ge 3.611 0.000 0.000
Sb -1.235 0.000 3.507
Sb 2.376 2.113 3.507
Se 0.000 2.113 0.000
```

***

A geometry-optimized LiMnZn5 structure. Source: Alexandria via LeMat-Bulk, functional PBE-GGA.

Calculated values
Total magnetization (μB per cell): 5.70
E_form (kJ per mole of atoms): 3.9
VASP energy (eV/atom): -2.453
Density (g/cm³): 5.9

The structure in extended XYZ format:
```
14
Lattice="6.062 0.000 0.000 0.000 6.182 0.000 0.000 0.000 5.814" Properties=species:S:1:pos:R:3 pbc="T T T"
Li 0.000 0.000 0.000
Li 3.031 3.091 0.000
Mn 0.000 3.091 2.907
Mn 3.031 0.000 2.907
Zn 0.000 3.091 0.000
Zn 1.516 1.545 1.584
Zn 1.516 1.545 4.231
Zn 1.516 4.636 1.584
Zn 1.516 4.636 4.231
Zn 3.031 0.000 0.000
Zn 4.547 1.545 1.584
Zn 4.547 1.545 4.231
Zn 4.547 4.636 1.584
Zn 4.547 4.636 4.231
```

***

A geometry-optimized Hf2ScMo2 structure. Source: Alexandria via LeMat-Bulk, functional PBE-GGA.

Calculated values
Relative energy among the computed polymorphs (eV/f.u.): 0.00
Total magnetization (μB per cell): 0.00
E_form (kJ per mole of atoms): 14.4
VASP energy (eV/atom): -9.431
Density (g/cm³): 9.9

The structure in extended XYZ format:
```
10
Lattice="7.558 0.000 0.000 0.000 7.558 0.000 0.000 0.000 3.499" Properties=species:S:1:pos:R:3 pbc="T T T"
Hf 1.120 2.658 0.000
Hf 2.658 6.437 0.000
Hf 4.899 1.120 0.000
Hf 6.437 4.899 0.000
Sc 0.000 0.000 1.749
Sc 3.779 3.779 1.749
Mo 1.124 4.903 1.749
Mo 2.655 1.124 1.749
Mo 4.903 6.434 1.749
Mo 6.434 2.655 1.749
```

***

A geometry-optimized ZnPdRu2Cl structure. Source: Alexandria via LeMat-Bulk, functional PBE-GGA.

Calculated values
Total magnetization (μB per cell): 5.36
VASP energy (eV/atom): -4.011
Formation energy without anion corrections (kJ/mol of formula units): 657
Density (g/cm³): 5.9

The structure in extended XYZ format:
```
5
Lattice="4.931 0.000 0.000 0.000 4.931 0.000 0.000 0.000 4.767" Properties=species:S:1:pos:R:3 pbc="T T T"
Zn 0.000 0.000 0.000
Pd 0.000 0.000 2.383
Ru 0.000 2.465 2.383
Ru 2.465 0.000 2.383
Cl 2.465 2.465 0.000
```

***

A geometry-optimized CaTbSi2Pd5 structure. Source: Alexandria via LeMat-Bulk, functional PBE-GGA.

Calculated values
Total magnetization (μB per cell): 0.00
VASP energy (eV/atom): -5.657
Formation energy without anion corrections (kJ/mol of formula units): -721
Density (g/cm³): 8.3

The structure in extended XYZ format:
```
9
Lattice="4.203 0.000 0.000 0.000 4.203 0.000 0.000 0.000 8.909" Properties=species:S:1:pos:R:3 pbc="T T T"
Ca 0.000 0.000 0.000
Tb 0.000 0.000 4.455
Si 2.102 2.102 3.270
Si 2.102 2.102 5.639
Pd 0.000 2.102 2.099
Pd 0.000 2.102 6.811
Pd 2.102 0.000 2.099
Pd 2.102 0.000 6.811
Pd 2.102 2.102 0.000
```

***

A geometry-optimized TbSm2Th structure. Source: Alexandria via LeMat-Bulk, functional PBE-GGA.

Calculated values
Relative energy among the computed polymorphs (eV/f.u.): 0.00
Total magnetization (μB per cell): 0.01
E_form (kJ per mole of atoms): 1.9
VASP energy (eV/atom): -5.352
Density (g/cm³): 8.7

The structure in extended XYZ format:
```
12
Lattice="3.620 0.000 0.000 -1.810 3.135 0.000 0.000 0.000 34.886" Properties=species:S:1:pos:R:3 pbc="T T T"
Tb 0.000 0.000 0.000
Tb 0.000 2.090 23.258
Tb 1.810 1.045 11.629
Sm 0.000 0.000 8.693
Sm 0.000 0.000 14.594
Sm 0.000 2.090 2.965
Sm 0.000 2.090 31.950
Sm 1.810 1.045 20.321
Sm 1.810 1.045 26.223
Th 0.000 0.000 29.087
Th 0.000 2.090 17.459
Th 1.810 1.045 5.830
```

***

A geometry-optimized TlCd2CuRe structure. Source: Alexandria via LeMat-Bulk, functional PBE-GGA.

Calculated values
Total magnetization (μB per cell): 0.00
E_form (kJ per mole of atoms): 97.3
VASP energy (eV/atom): -3.139
Density (g/cm³): 8.3

The structure in extended XYZ format:
```
5
Lattice="5.366 0.000 0.000 0.000 5.366 0.000 0.000 0.000 4.693" Properties=species:S:1:pos:R:3 pbc="T T T"
Tl 0.000 0.000 0.000
Cd 0.000 2.683 2.346
Cd 2.683 0.000 2.346
Cu 2.683 2.683 0.000
Re 2.683 2.683 2.346
```

***

A geometry-optimized Ag4TeS structure. Source: Alexandria via LeMat-Bulk, functional PBE-GGA.

Calculated values
Total magnetization (μB per cell): 0.00
VASP energy (eV/atom): -3.111
Formation energy without anion corrections (kJ/mol of formula units): 1
Density (g/cm³): 7.1

The structure in extended XYZ format:
```
12
Lattice="7.242 -3.420 0.000 7.242 3.420 0.000 -2.599 0.000 5.603" Properties=species:S:1:pos:R:3 pbc="T T T"
Ag 0.070 0.457 2.749
Ag -1.230 -0.457 5.551
Ag 2.694 0.083 4.779
Ag 3.994 -0.083 1.978
Ag 7.891 0.083 3.625
Ag 9.190 -0.083 0.824
Ag 13.114 0.457 0.052
Ag 11.814 -0.457 2.854
Te 6.592 1.432 1.401
Te 5.292 -1.432 4.202
S 2.321 1.710 2.801
S 3.621 -1.710 0.000
```

***

A geometry-optimized KLi2Pt structure. Source: Alexandria via LeMat-Bulk, functional PBE-GGA.

Calculated values
Total magnetization (μB per cell): 0.00
E_form (kJ per mole of atoms): -12.5
VASP energy (eV/atom): -2.871
Density (g/cm³): 4.8

The structure in extended XYZ format:
```
8
Lattice="8.926 0.000 0.000 0.000 3.032 0.000 -0.752 0.000 6.362" Properties=species:S:1:pos:R:3 pbc="T T T"
K 0.000 0.000 0.000
K 4.463 1.516 0.000
Li 1.509 0.000 4.149
Li 2.202 1.516 2.213
Li 5.972 1.516 4.149
Li 6.666 0.000 2.213
Pt -0.376 1.516 3.181
Pt 4.087 0.000 3.181
```

***

A geometry-optimized Li4Tl5Ga structure. Source: Alexandria via LeMat-Bulk, functional PBE-GGA.

Calculated values
Total magnetization (μB per cell): 0.00
E_form (kJ per mole of atoms): -14.6
VASP energy (eV/atom): -2.402
Density (g/cm³): 8.4

The structure in extended XYZ format:
```
10
Lattice="3.582 0.000 0.000 0.000 3.582 0.000 0.000 0.000 17.225" Properties=species:S:1:pos:R:3 pbc="T T T"
Li 0.000 0.000 1.647
Li 0.000 0.000 5.044
Li 0.000 0.000 12.181
Li 0.000 0.000 15.577
Tl 1.791 1.791 0.000
Tl 1.791 1.791 3.346
Tl 1.791 1.791 6.779
Tl 1.791 1.791 10.446
Tl 1.791 1.791 13.879
Ga 0.000 0.000 8.612
```